# Cr2In3Cl7 | Alexandria | PBE | relaxed
# SG: I4/mmm (139)
# Raw formation energy (eV per formula unit): -10.54
data_Cr2In3Cl7
_chemical_formula_sum 'Cr2 In3 Cl7'
_cell_length_a 13.281
_cell_length_b 13.281
_cell_length_c 13.281
_cell_angle_alpha 158.35
_cell_angle_beta 158.35
_cell_angle_gamma 30.80
_space_group_name_H-M_alt 'P 1'
_space_group_IT_number 1
loop_
_space_group_symop_operation_xyz
'x,y,z'
loop_
_atom_site_label
_atom_site_type_symbol
_atom_site_fract_x
_atom_site_fract_y
_atom_site_fract_z
Cr1 Cr 0.097 0.097 0.000
Cr2 Cr 0.903 0.903 0.000
In1 In 0.318 0.318 0.000
In2 In 0.500 0.500 0.000
In3 In 0.682 0.682 0.000
Cl1 Cl 0.000 0.000 0.000
Cl2 Cl 0.095 0.595 0.500
Cl3 Cl 0.192 0.192 0.000
Cl4 Cl 0.405 0.905 0.500
Cl5 Cl 0.595 0.095 0.500
Cl6 Cl 0.808 0.808 0.000
Cl7 Cl 0.905 0.405 0.500